(1)
# Ce4PbS8, optimized geometry, DFT PBE-GGA
data_Ce4PbS8
_symmetry_space_group_name_H-M 'C 1 2/m 1'
_symmetry_Int_Tables_number 12
_cell_length_a 13.4846
_cell_length_b 8.3393
_cell_length_c 9.7224
_cell_angle_alpha 90.00
_cell_angle_beta 132.37
_cell_angle_gamma 90.00
loop_
_symmetry_equiv_pos_as_xyz
'x,y,z'
'-x,-y,-z'
'-x,y,-z'
'x,-y,z'
'x+1/2,y+1/2,z'
'-x+1/2,-y+1/2,-z'
'-x+1/2,y+1/2,-z'
'x+1/2,-y+1/2,z'
loop_
_atom_site_label
_atom_site_fract_x
_atom_site_fract_y
_atom_site_fract_z
Ce1 0.0000 0.2446 0.0000
Ce2 0.2183 0.0000 0.4974
Pb1 0.0000 0.5000 0.5000
S1 0.0036 0.5000 0.1918
S2 0.0337 0.0000 0.8447
S3 0.2289 0.2747 0.6666
# M_tot   4.160 μB/cell
# DFT total energy   -163.52 eV/cell

=====

(2)
# CrMoRh2, optimized geometry, DFT PBE-GGA
data_CrMoRh2
_symmetry_space_group_name_H-M 'C 1 2/m 1'
_symmetry_Int_Tables_number 12
_cell_length_a 9.0315
_cell_length_b 2.7161
_cell_length_c 4.6580
_cell_angle_alpha 90.00
_cell_angle_beta 100.48
_cell_angle_gamma 90.00
loop_
_symmetry_equiv_pos_as_xyz
'x,y,z'
'-x,-y,-z'
'-x,y,-z'
'x,-y,z'
'x+1/2,y+1/2,z'
'-x+1/2,-y+1/2,-z'
'-x+1/2,y+1/2,-z'
'x+1/2,-y+1/2,z'
loop_
_atom_site_label
_atom_site_fract_x
_atom_site_fract_y
_atom_site_fract_z
Cr1 0.0000 0.0000 0.0000
Mo1 0.0000 0.5000 0.5000
Rh1 0.2453 0.5000 0.2439
# M_tot   1.516 μB/cell
# Calculated formation energy   0.0050 eV/atom

=====

(3)
# NdHoCdRh, optimized geometry, DFT PBE-GGA
data_NdHoCdRh
_symmetry_space_group_name_H-M 'F -4 3 m'
_symmetry_Int_Tables_number 216
_symmetry_space_group_name_Hall 'F -4 2 3'
_cell_length_a 7.2558
_cell_length_b 7.2558
_cell_length_c 7.2558
_cell_angle_alpha 90.00
_cell_angle_beta 90.00
_cell_angle_gamma 90.00
loop_
_atom_site_label
_atom_site_fract_x
_atom_site_fract_y
_atom_site_fract_z
Nd1 0.0000 0.0000 0.0000
Ho1 0.0000 0.0000 0.5000
Cd1 0.2500 0.2500 0.7500
Rh1 0.2500 0.2500 0.2500
# M_tot   0.000 μB/cell
# Calculated formation energy   -0.4745 eV/atom

=====

(4)
# Ac2Ag4Sn3Bi, optimized geometry, DFT PBE-GGA
data_Ac2Ag4Sn3Bi
_symmetry_space_group_name_H-M 'P -4 m 2'
_symmetry_Int_Tables_number 115
_cell_length_a 4.7777
_cell_length_b 4.7777
_cell_length_c 11.7562
_cell_angle_alpha 90.00
_cell_angle_beta 90.00
_cell_angle_gamma 90.00
loop_
_symmetry_equiv_pos_as_xyz
'x,y,z'
'y,-x,-z'
'-x,-y,z'
'-y,x,-z'
'-x,y,z'
'-y,-x,-z'
'x,-y,z'
'y,x,-z'
loop_
_atom_site_label
_atom_site_fract_x
_atom_site_fract_y
_atom_site_fract_z
Ac1 0.0000 0.5000 0.2305
Ag1 0.0000 0.0000 0.0000
Ag2 0.0000 0.5000 0.6440
Ag3 0.5000 0.5000 0.0000
Sn1 0.0000 0.5000 0.8724
Sn2 0.5000 0.5000 0.5000
Bi1 0.0000 0.0000 0.5000
# M_tot   0.000 μB/cell
# Calculated formation energy   -0.4108 eV/atom

=====

(5)
# Rb3IrCl2F6, optimized geometry, DFT PBE-GGA
data_Rb3IrCl2F6
_symmetry_space_group_name_H-M 'C 1 2/m 1'
_symmetry_Int_Tables_number 12
_cell_length_a 15.9013
_cell_length_b 7.9656
_cell_length_c 4.9109
_cell_angle_alpha 90.00
_cell_angle_beta 90.50
_cell_angle_gamma 90.00
loop_
_symmetry_equiv_pos_as_xyz
'x,y,z'
'-x,-y,-z'
'-x,y,-z'
'x,-y,z'
'x+1/2,y+1/2,z'
'-x+1/2,-y+1/2,-z'
'-x+1/2,y+1/2,-z'
'x+1/2,-y+1/2,z'
loop_
_atom_site_label
_atom_site_fract_x
_atom_site_fract_y
_atom_site_fract_z
Rb1 0.0000 0.0000 0.0000
Rb2 0.2500 0.2500 0.5000
Ir1 0.0000 0.5000 0.5000
Cl1 0.1966 0.0000 0.9894
F1 0.0442 0.3244 0.2728
F2 0.1065 0.5000 0.6883
# M_tot   4.225 μB/cell
# DFT total energy   -99.07 eV/cell

=====

(6)
# GaAg2Ir, optimized geometry, DFT PBE-GGA
data_GaAg2Ir
_symmetry_space_group_name_H-M 'R -3 m'
_symmetry_Int_Tables_number 166
_symmetry_space_group_name_Hall '-R 3 2"'
_cell_length_a 2.7867
_cell_length_b 2.7867
_cell_length_c 30.8196
_cell_angle_alpha 90.00
_cell_angle_beta 90.00
_cell_angle_gamma 120.00
loop_
_atom_site_label
_atom_site_fract_x
_atom_site_fract_y
_atom_site_fract_z
Ga1 0.0000 0.0000 0.0000
Ag1 0.0000 0.0000 0.4113
Ir1 0.0000 0.0000 0.5000
# M_tot   1.834 μB/cell
# Calculated formation energy   0.3806 eV/atom

=====

(7)
# LiReBr, optimized geometry, DFT PBE-GGA
data_LiReBr
_symmetry_space_group_name_H-M 'F -4 3 m'
_symmetry_Int_Tables_number 216
_symmetry_space_group_name_Hall 'F -4 2 3'
_cell_length_a 5.9318
_cell_length_b 5.9318
_cell_length_c 5.9318
_cell_angle_alpha 90.00
_cell_angle_beta 90.00
_cell_angle_gamma 90.00
loop_
_atom_site_label
_atom_site_fract_x
_atom_site_fract_y
_atom_site_fract_z
Li1 0.0000 0.0000 0.0000
Re1 0.0000 0.0000 0.5000
Br1 0.2500 0.2500 0.2500
# M_tot   4.005 μB/cell
# DFT total energy   -49.14 eV/cell

=====

(8)
# Mg3H5Ir2, optimized geometry, DFT PBE-GGA
data_Mg3H5Ir2
_symmetry_space_group_name_H-M 'P 1 m 1'
_symmetry_Int_Tables_number 6
_cell_length_a 3.0234
_cell_length_b 4.4680
_cell_length_c 7.7001
_cell_angle_alpha 90.00
_cell_angle_beta 101.15
_cell_angle_gamma 90.00
loop_
_symmetry_equiv_pos_as_xyz
'x,y,z'
'x,-y,z'
loop_
_atom_site_label
_atom_site_fract_x
_atom_site_fract_y
_atom_site_fract_z
Mg1 0.0000 0.0000 0.0000
Mg2 0.1481 0.5000 0.2965
Mg3 0.3220 0.0000 0.6496
H1 0.5826 0.2486 0.1634
H2 0.7462 0.2641 0.4950
H3 0.8829 0.5000 0.7577
Ir1 0.4421 0.5000 0.8801
Ir2 0.6687 0.0000 0.3375
# M_tot   0.000 μB/cell
# DFT total energy   -42.05 eV/cell

=====

(9)
# K2Hg3Ge2S8, optimized geometry, DFT PBE-GGA
data_K2Hg3Ge2S8
_symmetry_space_group_name_H-M 'C 1 2 1'
_symmetry_Int_Tables_number 5
_cell_length_a 9.8043
_cell_length_b 8.6399
_cell_length_c 9.8569
_cell_angle_alpha 90.00
_cell_angle_beta 94.57
_cell_angle_gamma 90.00
loop_
_symmetry_equiv_pos_as_xyz
'x,y,z'
'-x,y,-z'
'x+1/2,y+1/2,z'
'-x+1/2,y+1/2,-z'
loop_
_atom_site_label
_atom_site_fract_x
_atom_site_fract_y
_atom_site_fract_z
K1 0.2170 0.0000 0.2308
Hg1 0.0000 0.2076 0.5000
Hg2 0.0000 0.3713 0.0000
Hg3 0.0000 0.6905 0.5000
Ge1 0.2324 0.5113 0.2735
S1 0.0386 0.6524 0.2578
S2 0.0807 0.1617 0.7400
S3 0.2354 0.3680 0.0797
S4 0.2490 0.3679 0.4578
# M_tot   0.000 μB/cell
# DFT total energy   -106.75 eV/cell

=====

(10)
# PrYHo, optimized geometry, DFT PBE-GGA
data_PrYHo
_symmetry_space_group_name_H-M 'I 4 m m'
_symmetry_Int_Tables_number 107
_symmetry_space_group_name_Hall 'I 4 -2'
_cell_length_a 3.6097
_cell_length_b 3.6097
_cell_length_c 15.2755
_cell_angle_alpha 90.00
_cell_angle_beta 90.00
_cell_angle_gamma 90.00
loop_
_atom_site_label
_atom_site_fract_x
_atom_site_fract_y
_atom_site_fract_z
Pr1 0.0000 0.0000 0.0000
Y1 0.0000 0.0000 0.6700
Ho1 0.0000 0.0000 0.3331
# M_tot   0.000 μB/cell
# Calculated formation energy   0.0240 eV/atom

=====

(11)
# Sr2Ac2Nd, optimized geometry, DFT PBE-GGA
data_Sr2Ac2Nd
_symmetry_space_group_name_H-M 'I 4/m m m'
_symmetry_Int_Tables_number 139
_symmetry_space_group_name_Hall '-I 4 2'
_cell_length_a 4.9394
_cell_length_b 4.9394
_cell_length_c 19.6354
_cell_angle_alpha 90.00
_cell_angle_beta 90.00
_cell_angle_gamma 90.00
loop_
_atom_site_label
_atom_site_fract_x
_atom_site_fract_y
_atom_site_fract_z
Sr1 0.0000 0.5000 0.2500
Ac1 0.0000 0.0000 0.0891
Nd1 0.0000 0.0000 0.5000
# M_tot   0.000 μB/cell
# Calculated formation energy   0.4183 eV/atom

=====

(12)
# PmMgZnCu2, optimized geometry, DFT PBE-GGA
data_PmMgZnCu2
_symmetry_space_group_name_H-M 'I -4 m 2'
_symmetry_Int_Tables_number 119
_symmetry_space_group_name_Hall 'I -4 -2'
_cell_length_a 4.0274
_cell_length_b 4.0274
_cell_length_c 11.6995
_cell_angle_alpha 90.00
_cell_angle_beta 90.00
_cell_angle_gamma 90.00
loop_
_atom_site_label
_atom_site_fract_x
_atom_site_fract_y
_atom_site_fract_z
Pm1 0.0000 0.0000 0.0000
Mg1 0.0000 0.5000 0.2500
Zn1 0.0000 0.5000 0.7500
Cu1 0.0000 0.0000 0.3953
# M_tot   0.000 μB/cell
# Calculated formation energy   -0.2001 eV/atom

=====

Copy entry 7 word for word.
# LiReBr, optimized geometry, DFT PBE-GGA
data_LiReBr
_symmetry_space_group_name_H-M 'F -4 3 m'
_symmetry_Int_Tables_number 216
_symmetry_space_group_name_Hall 'F -4 2 3'
_cell_length_a 5.9318
_cell_length_b 5.9318
_cell_length_c 5.9318
_cell_angle_alpha 90.00
_cell_angle_beta 90.00
_cell_angle_gamma 90.00
loop_
_atom_site_label
_atom_site_fract_x
_atom_site_fract_y
_atom_site_fract_z
Li1 0.0000 0.0000 0.0000
Re1 0.0000 0.0000 0.5000
Br1 0.2500 0.2500 0.2500
# M_tot   4.005 μB/cell
# DFT total energy   -49.14 eV/cell

=====

- Which value of M_tot does entry 2 give?
  1.516 μB/cell

=====

- M_tot of number 5 (Rb3IrCl2F6)?
  4.225 μB/cell

=====

- What is the formula in the sixth record?
  GaAg2Ir